Here is a geometry-optimized Zr4CuAsN2 structure from OQMD. Energies are from PBE.

Output
magnetization = 0.09 μB per formula unit
energy = -0.6216 Ry/atom

Cell: 3.3576 3.3576 12.8943 Å, 90.00 90.00 120.00°
Space group P-6m2 (No. 187)
Symmetry-distinct sites (fractional):
Zr (0.0000, 0.0000, 0.1505) (multiplicity 2)
Zr (0.6667, 0.3333, 0.3433) (multiplicity 2)
Cu (0.0000, 0.0000, 0.5000) (multiplicity 1)
As (0.6667, 0.3333, 0.0000) (multiplicity 1)
N (0.3333, 0.6667, 0.2496) (multiplicity 2)